(1)
Below is a relaxed Nd2Ho2ErTm2 crystal, with properties calculated at the GGA-PBE level.

Lattice parameters (Å, degrees): 3.477 9.173 8.431 119.01 90.00 100.93
Fractional positions:
Nd1 0.648 0.296 0.911
Nd2 0.352 0.704 0.089
Ho1 0.430 0.860 0.764
Ho2 0.570 0.140 0.236
Er1 0.000 0.000 0.500
Tm1 0.789 0.579 0.379
Tm2 0.211 0.421 0.621

=====

(2)
Below is a relaxed NdHo6Er3Tm2 crystal, with properties calculated at the GGA-PBE level.

Lattice parameters (Å, degrees): 6.100 6.100 11.688 94.97 94.97 119.95
Fractional positions:
Nd1 0.000 0.000 0.000
Ho1 0.916 0.582 0.748
Ho2 0.750 0.750 0.251
Ho3 0.084 0.418 0.252
Ho4 0.582 0.916 0.748
Ho5 0.250 0.250 0.749
Ho6 0.418 0.084 0.252
Er1 0.167 0.833 0.500
Er2 0.833 0.167 0.500
Er3 0.500 0.500 0.500
Tm1 0.333 0.667 0.000
Tm2 0.667 0.333 0.000

=====

| no. | DFT formation energy (eV/atom) | total magnetization (μB per atom) |
| --- | --- | --- |
| 1 | 0.149 | 0.00 |
| 2 | 0.021 | 0.00 |